The following is a DFT calculation (PBE) of a relaxed NaPaNb2O8 crystal.

a b c (Å): 6.1068 6.1068 6.7586
angles (deg): 90.00 90.00 120.00
Last column: nearest neighbours and their distance in Å.
Element x y z (fractional)
Na (0.0000, 0.0000, 0.0000)  6 O 2.64
Pa (0.0000, 0.0000, 0.5000)  6 O 2.17
Nb (0.3333, 0.6667, 0.2115)  4 O 1.77-1.92
Nb (0.6667, 0.3333, 0.7885)  4 O 1.77-1.92
O (0.1607, 0.3213, 0.2992)  1 Nb 1.92
O (0.1607, 0.8393, 0.2992)  1 Nb 1.92
O (0.3213, 0.1607, 0.7008)  1 Nb 1.92
O (0.3333, 0.6667, 0.9490)  1 Nb 1.77
O (0.6667, 0.3333, 0.0510)  1 Nb 1.77
O (0.6787, 0.8393, 0.2992)  1 Nb 1.92
O (0.8393, 0.1607, 0.7008)  1 Nb 1.92
O (0.8393, 0.6787, 0.7008)  1 Nb 1.92

Its spin magnetization is 0.00 μB per formula unit. As for the formation energy from raw total energies: -2.72 eV per atom.



The following is a DFT calculation (PBE) of a relaxed NaNb2PdO6 crystal.

a b c (Å): 7.3418 7.3418 6.3932
angles (deg): 107.12 107.12 89.37
Last column: nearest neighbours and their distance in Å.
Element x y z (fractional)
Na (0.0778, 0.9222, 0.7500)  6 O 2.41-2.53
Na (0.9222, 0.0778, 0.2500)  6 O 2.41-2.53
Nb (0.2547, 0.4337, 0.8058)  4 O 1.81-1.99
Nb (0.4337, 0.2547, 0.3058)  4 O 1.81-1.99
Nb (0.5663, 0.7453, 0.6942)  4 O 1.81-1.99
Nb (0.7453, 0.5663, 0.1942)  4 O 1.81-1.99
Pd (0.2390, 0.7610, 0.2500)  2 O 2.09
Pd (0.7610, 0.2390, 0.7500)  2 O 2.09
O (0.0676, 0.2390, 0.6760)  1 Nb 1.81
O (0.1298, 0.6498, 0.8924)  1 Nb 1.85
O (0.2390, 0.0676, 0.1760)  1 Nb 1.81
O (0.3421, 0.4380, 0.5438)  2 Nb 1.97-1.99
O (0.3502, 0.8702, 0.6076)  1 Nb 1.85
O (0.4380, 0.3421, 0.0438)  2 Nb 1.97-1.99
O (0.5620, 0.6579, 0.9562)  2 Nb 1.97-1.99
O (0.6498, 0.1298, 0.3924)  1 Nb 1.85
O (0.6579, 0.5620, 0.4562)  2 Nb 1.97-1.99
O (0.7610, 0.9324, 0.8240)  1 Nb 1.81
O (0.8702, 0.3502, 0.1076)  1 Nb 1.85
O (0.9324, 0.7610, 0.3240)  1 Nb 1.81

Its spin magnetization is 1.03 μB per formula unit. As for the formation energy from raw total energies: -1.95 eV per atom.



Question: Which of these has the highest spin magnetization?
Answer: NaNb2PdO6